Record 1
# Zr2HgPb | Alexandria via LeMat-Bulk | GGA-PBE | optimized geometry
# N(E_F) = 2.6 states/eV/f.u.
# energy above the lowest structure with this stoichiometry = 0.5 kJ/mol of atoms
# density = 10.84 g/cm3
# M_tot = 0.00 Bohr magnetons per cell
# DFT formation energy = -0.170 eV/atom
# crystal system = tetragonal
data_Zr2HgPb
_chemical_formula_sum 'Zr2 Hg1 Pb1'
_cell_length_a 4.560
_cell_length_b 4.560
_cell_length_c 4.347
_cell_angle_alpha 90.00
_cell_angle_beta 90.00
_cell_angle_gamma 90.00
_space_group_name_H-M_alt 'P 4/m m m'
_space_group_IT_number 123
_space_group_name_Hall '-P 4 2'
loop_
_atom_site_label
_atom_site_fract_x
_atom_site_fract_y
_atom_site_fract_z
Zr1 0.000 0.500 0.000
Hg1 0.000 0.000 0.500
Pb1 0.500 0.500 0.500

***

Record 2
# NdCrS3 | Alexandria via LeMat-Bulk | GGA-PBE | optimized geometry
# N(E_F) = 0.2 states/eV/f.u.
# density = 5.04 g/cm3
# formation energy from raw total energies = -1.384 eV/atom
# M_tot = 12.00 Bohr magnetons per cell
# crystal system = orthorhombic
data_NdCrS3
_chemical_formula_sum 'Nd4 Cr4 S12'
_cell_length_a 7.798
_cell_length_b 3.788
_cell_length_c 13.039
_cell_angle_alpha 90.00
_cell_angle_beta 90.00
_cell_angle_gamma 90.00
_space_group_name_H-M_alt 'P n m a'
_space_group_IT_number 62
loop_
_space_group_symop_operation_xyz
'x,y,z'
'-x,-y,-z'
'-x+1/2,-y,z+1/2'
'x+1/2,y,-z+1/2'
'x+1/2,-y+1/2,-z+1/2'
'-x+1/2,y+1/2,z+1/2'
'-x,y+1/2,-z'
'x,-y+1/2,z'
loop_
_atom_site_label
_atom_site_fract_x
_atom_site_fract_y
_atom_site_fract_z
Nd1 0.089 0.250 0.172
Cr1 0.163 0.750 0.449
S1 0.010 0.750 0.606
S2 0.159 0.750 0.006
S3 0.194 0.250 0.787

***

Record 3
# Tb2Dy5Sc12 | Alexandria via LeMat-Bulk | GGA-PBE | optimized geometry
# N(E_F) = 27.4 states/eV/f.u.
# density = 5.30 g/cm3
# M_tot = 0.00 Bohr magnetons per cell
# DFT formation energy = 0.134 eV/atom
# crystal system = monoclinic
data_Tb2Dy5Sc12
_chemical_formula_sum 'Tb4 Dy10 Sc24'
_cell_length_a 14.685
_cell_length_b 8.666
_cell_length_c 8.227
_cell_angle_alpha 90.00
_cell_angle_beta 93.21
_cell_angle_gamma 90.00
_space_group_name_H-M_alt 'C 1 2/m 1'
_space_group_IT_number 12
loop_
_space_group_symop_operation_xyz
'x,y,z'
'-x,-y,-z'
'-x,y,-z'
'x,-y,z'
'x+1/2,y+1/2,z'
'-x+1/2,-y+1/2,-z'
'-x+1/2,y+1/2,-z'
'x+1/2,-y+1/2,z'
loop_
_atom_site_label
_atom_site_fract_x
_atom_site_fract_y
_atom_site_fract_z
Tb1 0.000 0.179 0.000
Dy1 0.000 0.500 0.500
Dy2 0.212 0.000 0.014
Dy3 0.235 0.500 0.575
Sc1 0.053 0.000 0.338
Sc2 0.071 0.500 0.872
Sc3 0.129 0.188 0.665
Sc4 0.147 0.323 0.248

***

Record 4
# PmHo2Pu | Alexandria via LeMat-Bulk | GGA-PBE | optimized geometry
# N(E_F) = 11.8 states/eV/f.u.
# energy above the lowest structure with this stoichiometry = 10.3 kJ/mol of atoms
# density = 9.55 g/cm3
# M_tot = 25.97 Bohr magnetons per cell
# DFT formation energy = 0.206 eV/atom
# crystal system = cubic
data_PmHo2Pu
_chemical_formula_sum 'Pm4 Ho8 Pu4'
_cell_length_a 7.936
_cell_length_b 7.936
_cell_length_c 7.936
_cell_angle_alpha 90.00
_cell_angle_beta 90.00
_cell_angle_gamma 90.00
_space_group_name_H-M_alt 'F m -3 m'
_space_group_IT_number 225
_space_group_name_Hall '-F 4 2 3'
loop_
_atom_site_label
_atom_site_fract_x
_atom_site_fract_y
_atom_site_fract_z
Pm1 0.000 0.000 0.000
Ho1 0.250 0.250 0.250
Pu1 0.000 0.000 0.500

***

Record 5
# YCd2Pt | Alexandria via LeMat-Bulk | GGA-PBE | optimized geometry
# N(E_F) = 1.2 states/eV/f.u.
# density = 8.23 g/cm3
# M_tot = 0.00 Bohr magnetons per cell
# DFT formation energy = -0.403 eV/atom
# crystal system = trigonal
data_YCd2Pt
_chemical_formula_sum 'Y3 Cd6 Pt3'
_cell_length_a 4.1534
_cell_length_b 4.1534
_cell_length_c 20.6270
_cell_angle_alpha 90.00
_cell_angle_beta 90.00
_cell_angle_gamma 120.00
_space_group_name_H-M_alt 'R 3 m'
_space_group_IT_number 160
_space_group_name_Hall 'R 3 -2"'
loop_
_atom_site_label
_atom_site_fract_x
_atom_site_fract_y
_atom_site_fract_z
Y1 0.0000 0.0000 0.0000
Cd1 0.0000 0.0000 0.5292
Cd2 0.0000 0.0000 0.7773
Pt1 0.0000 0.0000 0.2630

***

Record 6
# DyVMo | Alexandria via LeMat-Bulk | GGA-PBE | optimized geometry
# N(E_F) = 3.5 states/eV/f.u.
# density = 8.78 g/cm3
# M_tot = 0.00 Bohr magnetons per cell
# DFT formation energy = 0.380 eV/atom
# crystal system = orthorhombic
data_DyVMo
_chemical_formula_sum 'Dy16 V16 Mo16'
_cell_length_a 4.649
_cell_length_b 9.925
_cell_length_c 20.298
_cell_angle_alpha 90.00
_cell_angle_beta 90.00
_cell_angle_gamma 90.00
_space_group_name_H-M_alt 'F d d d'
_space_group_IT_number 70
loop_
_space_group_symop_operation_xyz
'x,y,z'
'-x,-y,-z'
'-x+1/4,-y+1/4,z'
'x+1/4,y+1/4,-z'
'x,-y+1/4,-z+1/4'
'-x,y+1/4,z+1/4'
'-x+1/4,y,-z+1/4'
'x+1/4,-y,z+1/4'
'x,y+1/2,z+1/2'
'-x,-y+1/2,-z+1/2'
'-x+1/4,-y+3/4,z+1/2'
'x+1/4,y+3/4,-z+1/2'
'x,-y+3/4,-z+3/4'
'-x,y+3/4,z+3/4'
'-x+1/4,y+1/2,-z+3/4'
'x+1/4,-y+1/2,z+3/4'
'x+1/2,y,z+1/2'
'-x+1/2,-y,-z+1/2'
'-x+3/4,-y+1/4,z+1/2'
'x+3/4,y+1/4,-z+1/2'
'x+1/2,-y+1/4,-z+3/4'
'-x+1/2,y+1/4,z+3/4'
'-x+3/4,y,-z+3/4'
'x+3/4,-y,z+3/4'
'x+1/2,y+1/2,z'
'-x+1/2,-y+1/2,-z'
'-x+3/4,-y+3/4,z'
'x+3/4,y+3/4,-z'
'x+1/2,-y+3/4,-z+1/4'
'-x+1/2,y+3/4,z+1/4'
'-x+3/4,y+1/2,-z+1/4'
'x+3/4,-y+1/2,z+1/4'
loop_
_atom_site_label
_atom_site_fract_x
_atom_site_fract_y
_atom_site_fract_z
Dy1 0.125 0.279 0.125
V1 0.125 0.125 0.001
Mo1 0.125 0.125 0.536

***

Record 7
# SrSeCl | Alexandria via LeMat-Bulk | GGA-PBE | optimized geometry
# N(E_F) = 2.0 states/eV/f.u.
# energy above the lowest structure with this stoichiometry = 45.8 kJ/mol of atoms
# density = 3.53 g/cm3
# formation energy from raw total energies = -1.440 eV/atom
# M_tot = 0.00 Bohr magnetons per cell
# crystal system = tetragonal
data_SrSeCl
_chemical_formula_sum 'Sr2 Se2 Cl2'
_cell_length_a 3.603
_cell_length_b 3.603
_cell_length_c 14.656
_cell_angle_alpha 90.00
_cell_angle_beta 90.00
_cell_angle_gamma 90.00
_space_group_name_H-M_alt 'I 4 m m'
_space_group_IT_number 107
_space_group_name_Hall 'I 4 -2'
loop_
_atom_site_label
_atom_site_fract_x
_atom_site_fract_y
_atom_site_fract_z
Sr1 0.000 0.000 0.000
Se1 0.000 0.000 0.644
Cl1 0.000 0.000 0.395

***

Record 8
# SiSb2As | Alexandria via LeMat-Bulk | GGA-PBE | optimized geometry
# N(E_F) = 2.6 states/eV/f.u.
# energy above the lowest structure with this stoichiometry = 18.1 kJ/mol of atoms
# density = 5.04 g/cm3
# formation energy from raw total energies = 0.351 eV/atom
# M_tot = 0.00 Bohr magnetons per cell
# crystal system = tetragonal
data_SiSb2As
_chemical_formula_sum 'Si4 Sb8 As4'
_cell_length_a 6.972
_cell_length_b 6.972
_cell_length_c 9.401
_cell_angle_alpha 90.00
_cell_angle_beta 90.00
_cell_angle_gamma 90.00
_space_group_name_H-M_alt 'I -4 2 d'
_space_group_IT_number 122
_space_group_name_Hall 'I -4 2bw'
loop_
_atom_site_label
_atom_site_fract_x
_atom_site_fract_y
_atom_site_fract_z
Si1 0.000 0.000 0.000
Sb1 0.232 0.250 0.125
As1 0.000 0.000 0.500

***

Record 9
# KSmCuCl5 | Alexandria via LeMat-Bulk | GGA-PBE | optimized geometry
# N(E_F) = 0.0 states/eV/f.u.
# density = 2.94 g/cm3
# formation energy from raw total energies = -1.734 eV/atom
# M_tot = 0.59 Bohr magnetons per cell
# crystal system = monoclinic
data_KSmCuCl5
_chemical_formula_sum 'K4 Sm4 Cu4 Cl20'
_cell_length_a 8.781
_cell_length_b 11.908
_cell_length_c 10.081
_cell_angle_alpha 90.00
_cell_angle_beta 112.89
_cell_angle_gamma 90.00
_space_group_name_H-M_alt 'C 1 2/c 1'
_space_group_IT_number 15
loop_
_space_group_symop_operation_xyz
'x,y,z'
'-x,-y,-z'
'-x,y,-z+1/2'
'x,-y,z+1/2'
'x+1/2,y+1/2,z'
'-x+1/2,-y+1/2,-z'
'-x+1/2,y+1/2,-z+1/2'
'x+1/2,-y+1/2,z+1/2'
loop_
_atom_site_label
_atom_site_fract_x
_atom_site_fract_y
_atom_site_fract_z
K1 0.000 0.146 0.250
Sm1 0.000 0.500 0.000
Cu1 0.000 0.188 0.750
Cl1 0.000 0.412 0.250
Cl2 0.114 0.298 0.621
Cl3 0.183 0.068 0.927

***

Record 10
# AcLa6Pm5 | Alexandria via LeMat-Bulk | GGA-PBE | optimized geometry
# N(E_F) = 21.3 states/eV/f.u.
# energy above the lowest structure with this stoichiometry = 0.0 kJ/mol of atoms
# density = 6.78 g/cm3
# M_tot = 0.00 Bohr magnetons per cell
# DFT formation energy = 0.018 eV/atom
# crystal system = monoclinic
data_AcLa6Pm5
_chemical_formula_sum 'Ac2 La12 Pm10'
_cell_length_a 12.314
_cell_length_b 11.165
_cell_length_c 6.459
_cell_angle_alpha 90.00
_cell_angle_beta 99.95
_cell_angle_gamma 90.00
_space_group_name_H-M_alt 'C 1 2/m 1'
_space_group_IT_number 12
loop_
_space_group_symop_operation_xyz
'x,y,z'
'-x,-y,-z'
'-x,y,-z'
'x,-y,z'
'x+1/2,y+1/2,z'
'-x+1/2,-y+1/2,-z'
'-x+1/2,y+1/2,-z'
'x+1/2,-y+1/2,z'
loop_
_atom_site_label
_atom_site_fract_x
_atom_site_fract_y
_atom_site_fract_z
Ac1 0.000 0.000 0.000
La1 0.248 0.332 0.750
La2 0.248 0.500 0.255
Pm1 0.000 0.169 0.500
Pm2 0.000 0.336 0.000
Pm3 0.000 0.500 0.500

***

Record 11
# Pm3TeS3 | Alexandria via LeMat-Bulk | GGA-PBE | optimized geometry
# N(E_F) = 2.8 states/eV/f.u.
# density = 5.27 g/cm3
# formation energy from raw total energies = -1.821 eV/atom
# M_tot = 0.00 Bohr magnetons per cell
# crystal system = trigonal
data_Pm3TeS3
_chemical_formula_sum 'Pm18 Te6 S18'
_cell_length_a 8.1377
_cell_length_b 8.1377
_cell_length_c 21.7093
_cell_angle_alpha 90.00
_cell_angle_beta 90.00
_cell_angle_gamma 120.00
_space_group_name_H-M_alt 'R -3'
_space_group_IT_number 148
_space_group_name_Hall '-R 3'
loop_
_atom_site_label
_atom_site_fract_x
_atom_site_fract_y
_atom_site_fract_z
Pm1 0.0083 0.6224 0.0973
Te1 0.0000 0.0000 0.3301
S1 0.0011 0.2746 0.1100

***

Record 12
# Zr3MnRh2 | Alexandria via LeMat-Bulk | GGA-PBE | optimized geometry
# N(E_F) = 4.2 states/eV/f.u.
# energy above the lowest structure with this stoichiometry = 0.3 kJ/mol of atoms
# density = 8.51 g/cm3
# M_tot = 0.00 Bohr magnetons per cell
# DFT formation energy = -0.557 eV/atom
# crystal system = monoclinic
data_Zr3MnRh2
_chemical_formula_sum 'Zr6 Mn2 Rh4'
_cell_length_a 4.602
_cell_length_b 6.559
_cell_length_c 7.273
_cell_angle_alpha 90.00
_cell_angle_beta 108.24
_cell_angle_gamma 90.00
_space_group_name_H-M_alt 'P 1 2/m 1'
_space_group_IT_number 10
loop_
_space_group_symop_operation_xyz
'x,y,z'
'-x,-y,-z'
'-x,y,-z'
'x,-y,z'
loop_
_atom_site_label
_atom_site_fract_x
_atom_site_fract_y
_atom_site_fract_z
Zr1 0.000 0.246 0.000
Zr2 0.330 0.242 0.661
Mn1 0.166 0.000 0.333
Rh1 0.166 0.500 0.331
Rh2 0.500 0.000 0.000
Rh3 0.500 0.500 0.000